Record 1
{
  "formula": "BeOs2Cl",
  "functional": "PBE",
  "state": "relaxed",
  "volume_a3_per_cell": 58.1,
  "polymorph_energy_ev_per_atom": 0.237,
  "e_tot_ev_per_atom": -6.539,
  "m_tot_mub_per_atom": 0.0000,
  "cell": [[-2.6800, -0.9607, -0.6817], [0.8412, -2.7383, 0.5522], [-1.9080, 0.7182, 6.4892]],
  "species": ["Os", "Os", "Cl", "Be"],
  "frac_coords": [[0.0000, 0.7503, 0.0733], [0.0000, 0.7497, 0.4267], [0.5000, 0.7500, 0.7500], [0.5000, 0.2500, 0.2500]]
}

---

Record 2
{
  "formula": "BeOs2Cl",
  "functional": "PBE",
  "state": "relaxed",
  "volume_a3_per_cell": 55.4,
  "polymorph_energy_ev_per_atom": 0.922,
  "e_tot_ev_per_atom": -5.855,
  "m_tot_mub_per_atom": 0.0001,
  "cell": [[-0.6195, -3.3177, -3.0411], [2.9223, 0.9425, -3.3483], [0.7909, -0.3358, 4.4611]],
  "species": ["Be", "Os", "Os", "Cl"],
  "frac_coords": [[0.5000, 0.5000, 0.0000], [0.2500, 0.7500, 0.5000], [0.0000, 0.0000, 0.0000], [0.7500, 0.2500, 0.5000]]
}

---

Record 3
{
  "formula": "BeOs2Cl",
  "functional": "PBE",
  "state": "relaxed",
  "volume_a3_per_cell": 55.8,
  "polymorph_energy_ev_per_atom": 0.660,
  "e_tot_ev_per_atom": -6.116,
  "m_tot_mub_per_atom": 0.0001,
  "cell": [[2.7117, 0.0000, 0.0000], [0.0000, 4.8233, 0.0000], [0.0000, 0.0000, 4.2643]],
  "species": ["Be", "Os", "Os", "Cl"],
  "frac_coords": [[0.5000, 0.0000, 0.5000], [0.0000, 0.0000, 0.0000], [0.5000, 0.5000, 0.0000], [0.0000, 0.5000, 0.5000]]
}

---

Record 4
{
  "formula": "Be2OsCl",
  "functional": "PBE",
  "state": "relaxed",
  "volume_a3_per_cell": 57.5,
  "polymorph_energy_ev_per_atom": 0.510,
  "e_tot_ev_per_atom": -4.602,
  "m_tot_mub_per_atom": 0.0003,
  "cell": [[-3.8022, 0.3596, 1.7793], [-2.8679, -2.5427, 1.7498], [2.6528, 0.8136, 3.9752]],
  "species": ["Os", "Be", "Be", "Cl"],
  "frac_coords": [[0.2500, 0.2500, 0.2500], [0.9462, 0.9462, 0.1191], [0.5538, 0.5538, 0.3809], [0.7500, 0.7500, 0.7500]]
}

---

Record 5
{
  "formula": "BeOsCl2",
  "functional": "PBE",
  "state": "relaxed",
  "volume_a3_per_cell": 72.0,
  "polymorph_energy_ev_per_atom": 0.324,
  "e_tot_ev_per_atom": -4.396,
  "m_tot_mub_per_atom": 0.1985,
  "cell": [[3.0633, 0.0000, 0.0000], [0.0000, 3.0633, 0.0000], [0.0000, 0.0000, 7.6748]],
  "species": ["Cl", "Cl", "Be", "Os"],
  "frac_coords": [[0.5000, 0.5000, 0.3424], [0.0000, 0.0000, 0.8851], [0.5000, 0.5000, 0.6958], [0.0000, 0.0000, 0.5767]]
}

---

Record 6
{
  "formula": "BeOsCl2",
  "functional": "PBE",
  "state": "relaxed",
  "volume_a3_per_cell": 63.7,
  "polymorph_energy_ev_per_atom": 1.452,
  "e_tot_ev_per_atom": -3.268,
  "m_tot_mub_per_atom": 0.5674,
  "cell": [[-1.4377, 3.6986, -2.0871], [-2.9392, -0.3265, -3.3701], [-4.2233, 1.3951, 0.5656]],
  "species": ["Os", "Be", "Cl", "Cl"],
  "frac_coords": [[0.7500, 0.7500, 0.7500], [0.5000, 0.5000, 0.5000], [0.0000, 0.0000, 0.0000], [0.2500, 0.2500, 0.2500]]
}

---

Record 7
{
  "formula": "BeOsCl",
  "functional": "PBE",
  "state": "relaxed",
  "volume_a3_per_cell": 40.7,
  "polymorph_energy_ev_per_atom": 0.757,
  "e_tot_ev_per_atom": -4.629,
  "m_tot_mub_per_atom": 0.0001,
  "cell": [[-0.1322, -3.2714, -2.4983], [3.4574, 0.8820, 2.0566], [-0.8541, -1.5791, 2.1130]],
  "species": ["Cl", "Os", "Be"],
  "frac_coords": [[0.6667, 0.3333, 0.4993], [0.3333, 0.6667, 0.4997], [0.0000, 0.0000, 0.0010]]
}

---

Record 8
{
  "formula": "BeOs2Cl",
  "functional": "PBE",
  "state": "relaxed",
  "volume_a3_per_cell": 70.5,
  "polymorph_energy_ev_per_atom": 0.202,
  "e_tot_ev_per_atom": -6.574,
  "m_tot_mub_per_atom": 0.0000,
  "cell": [[4.2969, 0.0078, -0.5244], [3.3576, 2.6814, -0.5244], [0.6634, 0.2331, 6.0385]],
  "species": ["Cl", "Os", "Os", "Be"],
  "frac_coords": [[0.4825, 0.4825, 0.2753], [0.9480, 0.9480, 0.9000], [0.6822, 0.6822, 0.7456], [0.3872, 0.3872, 0.5792]]
}

---

Record 9
{
  "formula": "BeOsCl2",
  "functional": "PBE",
  "state": "relaxed",
  "volume_a3_per_cell": 87.1,
  "polymorph_energy_ev_per_atom": 0.486,
  "e_tot_ev_per_atom": -4.234,
  "m_tot_mub_per_atom": 0.4746,
  "cell": [[3.0091, 0.0059, 0.0000], [-1.6271, 2.5313, 0.0000], [0.0000, 0.0000, 11.4164]],
  "species": ["Cl", "Cl", "Be", "Os"],
  "frac_coords": [[0.0000, 0.0000, 0.6221], [0.0000, 0.0000, 0.8779], [0.5000, 0.5000, 0.7500], [0.5000, 0.5000, 0.2500]]
}

---

Record 10
{
  "formula": "BeOs2Cl",
  "functional": "PBE",
  "state": "relaxed",
  "volume_a3_per_cell": 59.1,
  "polymorph_energy_ev_per_atom": 0.000,
  "e_tot_ev_per_atom": -6.776,
  "m_tot_mub_per_atom": 0.0000,
  "cell": [[2.8266, 0.0000, 0.0000], [0.0000, 2.8436, 0.2091], [0.0000, 2.3128, 7.5178]],
  "species": ["Be", "Os", "Os", "Cl"],
  "frac_coords": [[0.0000, 0.4154, 0.4585], [0.5000, 0.1158, 0.2590], [0.0000, 0.8435, 0.0317], [0.5000, 0.1252, 0.7508]]
}

---

Record 11
{
  "formula": "BeOsCl",
  "functional": "PBE",
  "state": "relaxed",
  "volume_a3_per_cell": 50.9,
  "polymorph_energy_ev_per_atom": 0.000,
  "e_tot_ev_per_atom": -5.386,
  "m_tot_mub_per_atom": 0.0000,
  "cell": [[2.7914, 0.0000, 0.0000], [-1.3957, 2.4174, 0.0000], [0.0000, 0.0000, 7.5439]],
  "species": ["Os", "Cl", "Be"],
  "frac_coords": [[0.3333, 0.6667, 0.7712], [0.6667, 0.3333, 0.2012], [0.0000, 0.0000, 0.0276]]
}

---

Record 12
{
  "formula": "BeOsCl2",
  "functional": "PBE",
  "state": "relaxed",
  "volume_a3_per_cell": 61.6,
  "polymorph_energy_ev_per_atom": 0.838,
  "e_tot_ev_per_atom": -3.882,
  "m_tot_mub_per_atom": 0.0000,
  "cell": [[4.0143, 0.0000, 0.0000], [0.0000, 3.2467, -0.0030], [0.0000, -0.1410, 4.7248]],
  "species": ["Be", "Os", "Cl", "Cl"],
  "frac_coords": [[0.5000, 0.7500, 0.7500], [0.5000, 0.2500, 0.2500], [0.0000, 0.0215, 0.0046], [0.0000, 0.4785, 0.4954]]
}